VASP calculation (PBE) on a geometry-optimized Sr2LaPt2 structure.

Unit cell a=8.8672 b=8.8672 c=3.3990 alpha=90.00 beta=90.00 gamma=90.00
Last column: nearest neighbours and their distance in Å.
Positions (direct):
Sr (0.1306, 0.3694, 0.0000)  6 Pt 3.01-3.19, 1 Sr 3.28
Sr (0.3694, 0.8694, 0.0000)  6 Pt 3.01-3.19, 1 Sr 3.28
Sr (0.6306, 0.1306, 0.0000)  6 Pt 3.01-3.19, 1 Sr 3.28
Sr (0.8694, 0.6306, 0.0000)  6 Pt 3.01-3.19, 1 Sr 3.28
La (0.0000, 0.0000, 0.0000)  2 La 3.40, 4 Sr 3.47, 8 Pt 3.70
La (0.5000, 0.5000, 0.0000)  2 La 3.40, 4 Sr 3.47, 8 Pt 3.70
Pt (0.1716, 0.6716, 0.5000)  6 Sr 3.01-3.19
Pt (0.3284, 0.1716, 0.5000)  6 Sr 3.01-3.19
Pt (0.6716, 0.8284, 0.5000)  6 Sr 3.01-3.19
Pt (0.8284, 0.3284, 0.5000)  6 Sr 3.01-3.19

Results
The calculation puts the volume at 267 Å³ per cell. As for the energy of formation: -0.449 eV per atom. Its density of states at the Fermi level is 0.72 states/eV per atom.

=====

VASP calculation (PBE) on a geometry-optimized LaHfHg2 structure.

Unit cell a=8.3349 b=8.3349 c=6.3976 alpha=90.00 beta=90.00 gamma=90.00
Last column: nearest neighbours and their distance in Å.
Positions (direct):
La (0.0000, 0.0000, 0.0000)  2 Hf 3.20, 4 Hg 3.31
La (0.0000, 0.5000, 0.2500)  2 Hf 3.20, 4 Hg 3.31
La (0.5000, 0.0000, 0.7500)  2 Hf 3.20, 4 Hg 3.31
La (0.5000, 0.5000, 0.5000)  2 Hf 3.20, 4 Hg 3.31
Hf (0.0000, 0.0000, 0.5000)  4 Hg 2.82
Hf (0.0000, 0.5000, 0.7500)  4 Hg 2.82
Hf (0.5000, 0.0000, 0.2500)  4 Hg 2.82
Hf (0.5000, 0.5000, 0.0000)  4 Hg 2.82
Hg (0.2062, 0.2500, 0.6250)  2 Hf 2.82
Hg (0.2500, 0.7062, 0.8750)  2 Hf 2.82
Hg (0.2500, 0.7938, 0.3750)  2 Hf 2.82
Hg (0.2938, 0.2500, 0.1250)  2 Hf 2.82
Hg (0.7062, 0.7500, 0.1250)  2 Hf 2.82
Hg (0.7500, 0.2062, 0.3750)  2 Hf 2.82
Hg (0.7500, 0.2938, 0.8750)  2 Hf 2.82
Hg (0.7938, 0.7500, 0.6250)  2 Hf 2.82

Results
The calculation puts the volume at 444 Å³ per cell. As for the energy of formation: 0.094 eV per atom. Its density of states at the Fermi level is 1.18 states/eV per atom.

=====

VASP calculation (PBE) on a geometry-optimized PmTmAs2O8 structure.

Unit cell a=6.7424 b=6.7424 c=6.7424 alpha=135.82 beta=135.82 gamma=64.26
Last column: nearest neighbours and their distance in Å.
Positions (direct):
Pm (0.0000, 0.0000, 0.0000)  8 O 2.40-2.47
Tm (0.2500, 0.7500, 0.5000)  8 O 2.33-2.41
As (0.5000, 0.5000, 0.0000)  4 O 1.73
As (0.7500, 0.2500, 0.5000)  4 O 1.73
O (0.2786, 0.6711, 0.1115)  1 As 1.73
O (0.3289, 0.4405, 0.6076)  1 As 1.73
O (0.4218, 0.0203, 0.0950)  1 As 1.73
O (0.5595, 0.1671, 0.8885)  1 As 1.73
O (0.6732, 0.5782, 0.5985)  1 As 1.73
O (0.8329, 0.7214, 0.3924)  1 As 1.73
O (0.9253, 0.3268, 0.9050)  1 As 1.73
O (0.9797, 0.0747, 0.4015)  1 As 1.73

Results
As for the formation energy (no corrections): -2341 meV per atom. The calculation puts the volume at 147 Å³ per cell. Its density of states at the Fermi level is 0.00 states/eV per atom.

=====

VASP calculation (PBE) on a geometry-optimized Nb2CuPt6 structure.

Unit cell a=7.6342 b=7.6342 c=2.8235 alpha=90.00 beta=90.00 gamma=120.00
Last column: nearest neighbours and their distance in Å.
Positions (direct):
Nb (0.3333, 0.6667, 0.0000)  9 Pt 2.70-2.83, 2 Nb 2.82
Nb (0.6667, 0.3333, 0.0000)  9 Pt 2.70-2.83, 2 Nb 2.82
Cu (0.0000, 0.0000, 0.5000)  9 Pt 2.66-2.74, 2 Cu 2.82
Pt (0.0000, 0.3595, 0.5000)  1 Cu 2.74, 8 Pt 2.82-2.99, 4 Nb 2.83
Pt (0.0000, 0.7042, 0.0000)  2 Cu 2.66, 2 Nb 2.70, 6 Pt 2.82-2.90
Pt (0.2958, 0.2958, 0.0000)  2 Cu 2.66, 2 Nb 2.70, 6 Pt 2.82-2.90
Pt (0.3595, 0.0000, 0.5000)  1 Cu 2.74, 8 Pt 2.82-2.99, 4 Nb 2.83
Pt (0.6405, 0.6405, 0.5000)  1 Cu 2.74, 8 Pt 2.82-2.99, 4 Nb 2.83
Pt (0.7042, 0.0000, 0.0000)  2 Cu 2.66, 2 Nb 2.70, 6 Pt 2.82-2.90

Results
The calculation puts the volume at 143 Å³ per cell. As for the energy of formation: -0.431 eV per atom. Its density of states at the Fermi level is 0.63 states/eV per atom.